# PBE-GGA SrY2Te4, optimized geometry
data_SrY2Te4
_space_group_name_H-M_alt 'P 1'
_space_group_IT_number 1
_space_group_name_Hall 'P 1'
_cell_length_a 13.718
_cell_length_b 4.425
_cell_length_c 16.064
_cell_angle_alpha 90.00
_cell_angle_beta 90.00
_cell_angle_gamma 90.00
loop_
_atom_site_label
_atom_site_type_symbol
_atom_site_fract_x
_atom_site_fract_y
_atom_site_fract_z
_atom_site_occupancy
Sr1 Sr 0.241 0.250 0.171 1
Sr2 Sr 0.259 0.750 0.671 1
Sr3 Sr 0.741 0.250 0.329 1
Sr4 Sr 0.759 0.750 0.829 1
Y1 Y 0.056 0.250 0.388 1
Y2 Y 0.087 0.250 0.907 1
Y3 Y 0.413 0.750 0.407 1
Y4 Y 0.444 0.750 0.888 1
Y5 Y 0.556 0.250 0.112 1
Y6 Y 0.587 0.250 0.593 1
Y7 Y 0.913 0.750 0.093 1
Y8 Y 0.944 0.750 0.612 1
Te1 Te 0.034 0.750 0.785 1
Te2 Te 0.096 0.250 0.576 1
Te3 Te 0.129 0.750 0.037 1
Te4 Te 0.202 0.750 0.331 1
Te5 Te 0.298 0.250 0.831 1
Te6 Te 0.371 0.250 0.537 1
Te7 Te 0.404 0.750 0.076 1
Te8 Te 0.466 0.250 0.285 1
Te9 Te 0.534 0.750 0.715 1
Te10 Te 0.596 0.250 0.924 1
Te11 Te 0.629 0.750 0.463 1
Te12 Te 0.702 0.750 0.169 1
Te13 Te 0.798 0.250 0.669 1
Te14 Te 0.871 0.250 0.963 1
Te15 Te 0.904 0.750 0.424 1
Te16 Te 0.966 0.250 0.215 1
# Formation energy without anion corrections ... -10.6 eV/f.u.
# E ... -37.79 eV per formula unit
# Space-group type ... No. 62
# Excess energy over the best structure of this formula in the dataset ... 0 meV per atom